{"formula": "LiInMoO5", "functional": "PBE with a Hubbard U", "state": "relaxed", "cell": [[3.197, -5.288, 0.000], [3.197, 5.288, 0.000], [-2.834, 0.000, 6.918]], "species": ["Li", "Li", "In", "In", "Mo", "Mo", "O", "O", "O", "O", "O", "O", "O", "O", "O", "O"], "frac_coords": [[0.241, 0.759, 0.750], [0.759, 0.241, 0.250], [0.500, 0.500, 0.000], [0.500, 0.500, 0.500], [0.211, 0.789, 0.250], [0.789, 0.211, 0.750], [0.066, 0.290, 0.941], [0.143, 0.524, 0.346], [0.290, 0.066, 0.441], [0.421, 0.579, 0.750], [0.476, 0.857, 0.154], [0.524, 0.143, 0.846], [0.579, 0.421, 0.250], [0.710, 0.934, 0.559], [0.857, 0.476, 0.654], [0.934, 0.710, 0.059]], "mass_density_g_cm3": 4.23, "total_magnetization_mub_per_cell": 0.0, "e_tot_ev_per_atom": -6.21}